Record 1
A geometry-optimized LiHg2Pb structure. Source: the Alexandria database, functional PBE.

Results
- volume (Å³ per atom) = 24.71
- SG = Pm
- final energy (eV/atom) = -1.6830
- total magnetization (μB per formula unit) = 0.00
- crystal system = monoclinic
- E_form (eV/atom) = -0.13

Lattice parameters (Å, degrees): 4.787 3.546 5.830 87.40 90.00 90.00
Fractional positions:
Hg: 0.500 0.139 0.317
Hg: 0.000 0.119 0.995
Pb: 0.500 0.642 0.783
Li: 0.000 0.600 0.404

Record 2
A geometry-optimized LiHg7Pb2 structure. Source: the Alexandria database, functional PBE.

Results
- volume (Å³ per atom) = 26.85
- SG = Cmmm
- final energy (eV/atom) = -1.1464
- total magnetization (μB per formula unit) = 0.00
- crystal system = orthorhombic
- E_form (eV/atom) = 0.00

Lattice parameters (Å, degrees): 13.263 13.263 3.395 90.00 90.00 153.29
Fractional positions:
Hg: 0.335 0.144 0.500
Hg: 0.665 0.856 0.500
Hg: 0.500 0.500 0.500
Hg: 0.144 0.335 0.500
Hg: 0.811 0.189 0.000
Hg: 0.189 0.811 0.000
Hg: 0.856 0.665 0.500
Pb: 0.705 0.295 0.500
Pb: 0.295 0.705 0.500
Li: 0.000 0.000 0.000

Record 3
A geometry-optimized Li2Hg4Pb3 structure. Source: the Alexandria database, functional PBE.

Results
- excess energy over the best structure of this formula in the dataset (meV per atom) = 10.2
- volume (Å³ per atom) = 25.08
- SG = C2/m
- final energy (eV/atom) = -1.9070
- total magnetization (μB per formula unit) = 0.00
- crystal system = monoclinic
- E_form (eV/atom) = -0.11

Lattice parameters (Å, degrees): 4.964 6.278 9.368 119.73 90.00 113.29
Fractional positions:
Pb: 0.000 0.000 0.000
Pb: 0.658 0.316 0.666
Pb: 0.342 0.684 0.334
Hg: 0.921 0.842 0.602
Hg: 0.079 0.158 0.398
Hg: 0.697 0.395 0.049
Hg: 0.303 0.605 0.951
Li: 0.618 0.235 0.288
Li: 0.382 0.765 0.712

Record 4
A geometry-optimized Li4HgPb3 structure. Source: the Alexandria database, functional PBE.

Results
- volume (Å³ per atom) = 21.51
- SG = P4/mmm
- final energy (eV/atom) = -2.6656
- total magnetization (μB per formula unit) = 0.00
- crystal system = tetragonal
- E_form (eV/atom) = -0.28

Lattice parameters (Å, degrees): 3.482 3.482 14.196 90.00 90.00 90.00
Fractional positions:
Pb: 0.500 0.500 0.240
Pb: 0.500 0.500 0.500
Pb: 0.500 0.500 0.760
Li: 0.000 0.000 0.110
Li: 0.000 0.000 0.890
Li: 0.000 0.000 0.630
Li: 0.000 0.000 0.370
Hg: 0.500 0.500 0.000

Record 5
A geometry-optimized LiHg3Pb structure. Source: the Alexandria database, functional PBE.

Results
- excess energy over the best structure of this formula in the dataset (meV per atom) = 0.7
- volume (Å³ per atom) = 24.28
- SG = Pnma
- final energy (eV/atom) = -1.4180
- total magnetization (μB per formula unit) = 0.00
- crystal system = orthorhombic
- E_form (eV/atom) = -0.11

Lattice parameters (Å, degrees): 3.854 9.878 12.758 90.00 90.00 90.00
Fractional positions:
Li: 0.250 0.131 0.631
Li: 0.750 0.869 0.369
Li: 0.750 0.369 0.131
Li: 0.250 0.631 0.869
Hg: 0.750 0.602 0.287
Hg: 0.750 0.102 0.213
Hg: 0.750 0.925 0.584
Hg: 0.750 0.151 0.791
Hg: 0.250 0.075 0.416
Hg: 0.750 0.651 0.709
Hg: 0.250 0.575 0.084
Hg: 0.750 0.425 0.916
Hg: 0.250 0.349 0.291
Hg: 0.250 0.898 0.787
Hg: 0.250 0.398 0.713
Hg: 0.250 0.849 0.209
Pb: 0.750 0.848 0.999
Pb: 0.750 0.348 0.501
Pb: 0.250 0.152 0.001
Pb: 0.250 0.652 0.499

Record 6
A geometry-optimized Li7Hg2Pb structure. Source: the Alexandria database, functional PBE.

Results
- excess energy over the best structure of this formula in the dataset (meV per atom) = 151.5
- volume (Å³ per atom) = 23.36
- SG = Cmmm
- final energy (eV/atom) = -1.8450
- total magnetization (μB per formula unit) = 0.00
- crystal system = orthorhombic
- E_form (eV/atom) = -0.07

Lattice parameters (Å, degrees): 4.364 8.031 8.031 123.91 90.00 90.00
Fractional positions:
Pb: 0.000 0.000 0.000
Li: 0.500 0.500 0.500
Li: 0.500 0.073 0.291
Li: 0.000 0.204 0.796
Li: 0.500 0.709 0.927
Li: 0.500 0.291 0.073
Li: 0.000 0.796 0.204
Li: 0.500 0.927 0.709
Hg: 0.500 0.693 0.307
Hg: 0.500 0.307 0.693

Record 7
A geometry-optimized Li2HgPb structure. Source: the Alexandria database, functional PBE.

Results
- volume (Å³ per atom) = 23.87
- SG = R3m
- final energy (eV/atom) = -2.0689
- total magnetization (μB per formula unit) = 0.00
- crystal system = trigonal
- E_form (eV/atom) = -0.11

Lattice parameters (Å, degrees): 10.040 10.040 10.040 19.18 19.18 19.18
Fractional positions:
Pb: 0.504 0.504 0.504
Li: 0.003 0.003 0.003
Li: 0.253 0.253 0.253
Hg: 0.739 0.739 0.739

Record 8
A geometry-optimized Li2Hg7Pb2 structure. Source: the Alexandria database, functional PBE.

Results
- volume (Å³ per atom) = 25.16
- SG = C2/m
- final energy (eV/atom) = -1.3099
- total magnetization (μB per formula unit) = 0.00
- crystal system = monoclinic
- E_form (eV/atom) = -0.10

Lattice parameters (Å, degrees): 6.042 7.883 7.883 70.63 59.38 59.38
Fractional positions:
Hg: 0.500 0.000 0.000
Hg: 0.687 0.545 0.083
Hg: 0.313 0.455 0.917
Hg: 0.687 0.083 0.545
Hg: 0.173 0.560 0.560
Hg: 0.313 0.917 0.455
Hg: 0.827 0.440 0.440
Li: 0.559 0.739 0.739
Li: 0.441 0.261 0.261
Pb: 0.000 0.185 0.815
Pb: 0.000 0.815 0.185

Record 9
A geometry-optimized Li14HgPb structure. Source: the Alexandria database, functional PBE.

Results
- volume (Å³ per atom) = 18.95
- SG = P4/mmm
- final energy (eV/atom) = -2.0626
- total magnetization (μB per formula unit) = 0.00
- crystal system = tetragonal
- E_form (eV/atom) = -0.14

Lattice parameters (Å, degrees): 6.943 6.943 6.289 90.00 90.00 90.00
Fractional positions:
Li: 0.630 0.120 0.737
Li: 0.630 0.120 0.263
Li: 0.120 0.120 0.737
Li: 0.120 0.630 0.737
Li: 0.630 0.630 0.737
Li: 0.375 0.875 0.000
Li: 0.630 0.630 0.263
Li: 0.375 0.375 0.000
Li: 0.375 0.875 0.500
Li: 0.875 0.875 0.000
Li: 0.875 0.375 0.000
Li: 0.120 0.630 0.263
Li: 0.875 0.375 0.500
Li: 0.120 0.120 0.263
Pb: 0.375 0.375 0.500
Hg: 0.875 0.875 0.500

Record 10
A geometry-optimized Li6HgPb structure. Source: the Alexandria database, functional PBE.

Results
- excess energy over the best structure of this formula in the dataset (meV per atom) = 0.0
- volume (Å³ per atom) = 18.10
- SG = R-3m
- final energy (eV/atom) = -2.2404
- total magnetization (μB per formula unit) = 0.00
- crystal system = trigonal
- E_form (eV/atom) = -0.30

Lattice parameters (Å, degrees): 4.679 4.679 8.101 73.22 73.22 60.00
Fractional positions:
Li: 0.756 0.756 0.733
Li: 0.627 0.627 0.119
Li: 0.373 0.373 0.881
Li: 0.244 0.244 0.267
Li: 0.123 0.123 0.632
Li: 0.877 0.877 0.368
Pb: 0.500 0.500 0.500
Hg: 0.000 0.000 0.000

Record 11
A geometry-optimized LiHg9Pb2 structure. Source: the Alexandria database, functional PBE.

Results
- volume (Å³ per atom) = 26.42
- SG = P-1
- final energy (eV/atom) = -1.0270
- total magnetization (μB per formula unit) = 0.00
- crystal system = triclinic
- E_form (eV/atom) = -0.02

Lattice parameters (Å, degrees): 8.012 8.045 8.728 65.29 106.26 56.73
Fractional positions:
Hg: 0.649 0.523 0.896
Hg: 0.910 0.521 0.680
Hg: 0.090 0.479 0.320
Hg: 0.500 0.500 0.500
Hg: 0.271 0.084 0.256
Hg: 0.499 0.210 0.904
Hg: 0.729 0.916 0.744
Hg: 0.351 0.477 0.104
Hg: 0.501 0.790 0.096
Li: 0.000 0.000 0.000
Pb: 0.962 0.871 0.410
Pb: 0.038 0.129 0.590

Record 12
A geometry-optimized Li2Hg6Pb structure. Source: the Alexandria database, functional PBE.

Results
- excess energy over the best structure of this formula in the dataset (meV per atom) = 0.0
- volume (Å³ per atom) = 24.53
- SG = C2/m
- final energy (eV/atom) = -1.1588
- total magnetization (μB per formula unit) = 0.00
- crystal system = monoclinic
- E_form (eV/atom) = -0.12

Lattice parameters (Å, degrees): 3.251 8.957 8.957 116.31 99.99 99.99
Fractional positions:
Hg: 0.500 0.611 0.389
Hg: 0.500 0.389 0.611
Hg: 0.203 0.351 0.999
Hg: 0.797 0.001 0.649
Hg: 0.797 0.649 0.001
Hg: 0.203 0.999 0.351
Li: 0.802 0.298 0.298
Li: 0.198 0.702 0.702
Pb: 0.000 0.000 0.000

Record 13
A geometry-optimized Li4Hg4Pb3 structure. Source: the Alexandria database, functional PBE.

Results
- volume (Å³ per atom) = 22.85
- SG = Immm
- final energy (eV/atom) = -2.0003
- total magnetization (μB per formula unit) = 0.00
- crystal system = orthorhombic
- E_form (eV/atom) = -0.18

Lattice parameters (Å, degrees): 3.644 8.550 9.308 117.34 101.29 90.00
Fractional positions:
Li: 0.500 0.792 0.000
Li: 0.248 0.748 0.497
Li: 0.752 0.252 0.503
Li: 0.500 0.208 0.000
Pb: 0.896 0.896 0.792
Pb: 0.104 0.104 0.208
Pb: 0.000 0.500 0.000
Hg: 0.664 0.856 0.327
Hg: 0.336 0.529 0.673
Hg: 0.664 0.471 0.327
Hg: 0.336 0.144 0.673

Record 14
A geometry-optimized Li2HgPb structure. Source: the Alexandria database, functional PBE.

Results
- volume (Å³ per atom) = 22.37
- SG = R-3m
- final energy (eV/atom) = -2.1914
- total magnetization (μB per formula unit) = 0.00
- crystal system = trigonal
- E_form (eV/atom) = -0.23

Lattice parameters (Å, degrees): 9.599 9.599 9.599 19.88 19.88 19.88
Fractional positions:
Li: 0.001 0.001 0.001
Li: 0.499 0.499 0.499
Hg: 0.750 0.750 0.750
Pb: 0.250 0.250 0.250

Record 15
A geometry-optimized Li7HgPb2 structure. Source: the Alexandria database, functional PBE.

Results
- excess energy over the best structure of this formula in the dataset (meV per atom) = 0.0
- volume (Å³ per atom) = 19.47
- SG = P3m1
- final energy (eV/atom) = -2.3362
- total magnetization (μB per formula unit) = 0.00
- crystal system = trigonal
- E_form (eV/atom) = -0.22

Lattice parameters (Å, degrees): 4.736 4.736 10.023 90.00 90.00 120.00
Fractional positions:
Li: 0.000 0.000 0.444
Li: 0.667 0.333 0.568
Li: 0.333 0.667 0.131
Li: 0.333 0.667 0.892
Li: 0.333 0.667 0.370
Li: 0.667 0.333 0.927
Li: 0.000 0.000 0.744
Pb: 0.667 0.333 0.240
Pb: 0.333 0.667 0.631
Hg: 0.000 0.000 0.037

Record 16
A geometry-optimized LiHg2Pb structure. Source: the Alexandria database, functional PBE.

Results
- volume (Å³ per atom) = 23.82
- SG = P4mm
- final energy (eV/atom) = -1.6975
- total magnetization (μB per formula unit) = 0.00
- crystal system = tetragonal
- E_form (eV/atom) = -0.14

Lattice parameters (Å, degrees): 3.634 3.634 7.216 90.00 90.00 90.00
Fractional positions:
Li: 0.000 0.000 0.460
Pb: 0.500 0.500 0.732
Hg: 0.500 0.500 0.281
Hg: 0.000 0.000 0.027

Record 17
A geometry-optimized Li5HgPb structure. Source: the Alexandria database, functional PBE.

Results
- volume (Å³ per atom) = 20.35
- SG = Cmmm
- final energy (eV/atom) = -2.1685
- total magnetization (μB per formula unit) = 0.00
- crystal system = orthorhombic
- E_form (eV/atom) = -0.23

Lattice parameters (Å, degrees): 4.532 4.532 6.936 90.00 90.00 89.91
Fractional positions:
Pb: 0.500 0.500 0.500
Li: 0.000 0.500 0.238
Li: 0.000 0.000 0.500
Li: 0.000 0.500 0.762
Li: 0.500 0.000 0.238
Li: 0.500 0.000 0.762
Hg: 0.000 0.000 0.000

Record 18
A geometry-optimized LiHg6Pb2 structure. Source: the Alexandria database, functional PBE.

Results
- excess energy over the best structure of this formula in the dataset (meV per atom) = 0.0
- volume (Å³ per atom) = 25.95
- SG = P-62m
- final energy (eV/atom) = -1.2782
- total magnetization (μB per formula unit) = 0.00
- crystal system = hexagonal
- E_form (eV/atom) = -0.04

Lattice parameters (Å, degrees): 3.633 8.616 8.616 120.00 90.00 90.00
Fractional positions:
Hg: 0.000 0.000 0.361
Hg: 0.500 0.000 0.740
Hg: 0.500 0.260 0.260
Hg: 0.000 0.361 0.000
Hg: 0.500 0.740 0.000
Hg: 0.000 0.639 0.639
Li: 0.000 0.000 0.000
Pb: 0.500 0.333 0.667
Pb: 0.500 0.667 0.333

Record 19
A geometry-optimized LiHg4Pb2 structure. Source: the Alexandria database, functional PBE.

Results
- excess energy over the best structure of this formula in the dataset (meV per atom) = 0.0
- volume (Å³ per atom) = 26.11
- SG = I4/mmm
- final energy (eV/atom) = -1.5729
- total magnetization (μB per formula unit) = 0.00
- crystal system = tetragonal
- E_form (eV/atom) = -0.07

Lattice parameters (Å, degrees): 4.771 4.771 8.709 105.90 105.90 90.00
Fractional positions:
Li: 0.000 0.000 0.000
Pb: 0.247 0.247 0.494
Pb: 0.753 0.753 0.506
Hg: 0.404 0.904 0.808
Hg: 0.096 0.596 0.192
Hg: 0.904 0.404 0.808
Hg: 0.596 0.096 0.192

Record 20
A geometry-optimized Li2Hg4Pb3 structure. Source: the Alexandria database, functional PBE.

Results
- excess energy over the best structure of this formula in the dataset (meV per atom) = 0.0
- volume (Å³ per atom) = 24.82
- SG = C2/m
- final energy (eV/atom) = -1.9172
- total magnetization (μB per formula unit) = 0.00
- crystal system = monoclinic
- E_form (eV/atom) = -0.12

Lattice parameters (Å, degrees): 3.415 5.784 12.440 107.07 90.00 107.17
Fractional positions:
Li: 0.663 0.327 0.209
Li: 0.337 0.673 0.791
Hg: 0.969 0.938 0.686
Hg: 0.317 0.634 0.125
Hg: 0.683 0.366 0.875
Hg: 0.031 0.062 0.314
Pb: 0.660 0.321 0.576
Pb: 0.000 0.000 0.000
Pb: 0.340 0.679 0.424